DFT (GGA+U) results for an optimized crystal structure of Tl2MoO4.

Computed properties:
Energy above the most stable polymorph in this dataset   3.8 meV/atom
Volume   21.74 A^3/atom

The structure in POSCAR format:
```
Tl2MoO4
1.0
-3.7090 -1.0967 4.8870
-5.1572 -4.2374 -4.8649
5.9826 -9.9346 2.3111
Tl Mo O
8 4 16
Direct
0.7500 0.4867 0.2633 Tl
0.2500 0.5133 0.7367 Tl
0.2500 0.0133 0.7633 Tl
0.7500 0.9867 0.2367 Tl
0.7500 0.8158 0.5648 Tl
0.2500 0.1842 0.4352 Tl
0.2500 0.6842 0.0648 Tl
0.7500 0.3158 0.9352 Tl
0.7500 0.7965 0.9282 Mo
0.2500 0.2035 0.0718 Mo
0.2500 0.7035 0.4282 Mo
0.7500 0.2965 0.5718 Mo
0.5099 0.7077 0.8697 O
0.4901 0.2923 0.1303 O
0.4901 0.7923 0.3697 O
0.0099 0.2923 0.1303 O
0.5099 0.2077 0.6303 O
0.9901 0.7077 0.8697 O
0.9901 0.2077 0.6303 O
0.0099 0.7923 0.3697 O
0.7500 0.0108 0.9030 O
0.2500 0.9892 0.0970 O
0.2500 0.4892 0.4030 O
0.7500 0.5108 0.5970 O
0.7500 0.2555 0.4217 O
0.2500 0.7445 0.5783 O
0.2500 0.2445 0.9217 O
0.7500 0.7555 0.0783 O
```